No. 1
{
  "formula": "PaGaPd",
  "functional": "PBE-GGA",
  "state": "optimized geometry",
  "crystal_system": "hexagonal",
  "formation_energy_ev_per_fu": -1.88,
  "e_tot_ev_per_fu": -19.59,
  "mass_density_g_cm3": 11.5,
  "lattice_angstrom": [[4.546, 0.000, 0.000], [-2.273, 3.937, 0.000], [0.000, 0.000, 3.279]],
  "species": ["Ga", "Pa", "Pd"],
  "fractional_positions": [[0.667, 0.333, 0.500], [0.000, 0.000, 0.000], [0.333, 0.667, 0.500]]
}

No. 2
{
  "formula": "PaGaPd3",
  "functional": "PBE-GGA",
  "state": "optimized geometry",
  "crystal_system": "monoclinic",
  "formation_energy_ev_per_fu": -1.87,
  "e_tot_ev_per_fu": -29.97,
  "mass_density_g_cm3": 10.5,
  "lattice_angstrom": [[-1.467, -2.103, -2.064], [4.528, -3.381, 0.226], [-7.648, -2.566, 8.051]],
  "species": ["Pd", "Pd", "Pd", "Ga", "Pd", "Pa", "Pd", "Ga", "Pa", "Pd"],
  "fractional_positions": [[0.500, 0.000, 0.000], [0.500, 0.708, 0.614], [0.500, 0.215, 0.614], [0.500, 0.895, 0.195], [0.500, 0.292, 0.386], [0.000, 0.593, 0.789], [0.500, 0.785, 0.386], [0.500, 0.105, 0.805], [0.000, 0.407, 0.211], [0.500, 0.500, 0.000]]
}

No. 3
{
  "formula": "PaGa3Pd",
  "functional": "PBE-GGA",
  "state": "optimized geometry",
  "crystal_system": "orthorhombic",
  "relative_energy_mev_per_atom": 67,
  "formation_energy_ev_per_fu": -1.98,
  "e_tot_ev_per_fu": -25.75,
  "mass_density_g_cm3": 9.3,
  "lattice_angstrom": [[3.715, 0.000, 0.000], [0.000, 4.330, 0.000], [0.000, -2.165, 12.103]],
  "species": ["Ga", "Pd", "Pa", "Ga", "Pa", "Ga", "Ga", "Ga", "Pd", "Ga"],
  "fractional_positions": [[0.000, 0.054, 0.109], [0.000, 0.378, 0.756], [0.500, 0.167, 0.334], [0.000, 0.946, 0.891], [0.500, 0.833, 0.666], [0.500, 0.449, 0.898], [0.000, 0.275, 0.549], [0.500, 0.551, 0.102], [0.000, 0.622, 0.244], [0.000, 0.725, 0.451]]
}

No. 4
{
  "formula": "PaGa2Pd7",
  "functional": "PBE-GGA",
  "state": "optimized geometry",
  "crystal_system": "orthorhombic",
  "formation_energy_ev_per_fu": -3.01,
  "e_tot_ev_per_fu": -54.91,
  "mass_density_g_cm3": 9.2,
  "lattice_angstrom": [[4.450, 0.000, 0.000], [0.000, 7.138, -0.080], [0.000, -3.221, 6.371]],
  "species": ["Ga", "Pd", "Pd", "Pd", "Pa", "Pd", "Pd", "Pd", "Pd", "Ga"],
  "fractional_positions": [[0.500, 0.698, 0.302], [0.500, 0.302, 0.070], [0.000, 0.217, 0.783], [0.500, 0.930, 0.698], [0.000, 0.000, 0.000], [0.500, 0.500, 0.500], [0.500, 0.070, 0.302], [0.500, 0.698, 0.930], [0.000, 0.783, 0.217], [0.500, 0.302, 0.698]]
}